[1]
Entry from Alexandria: a geometry-optimized ScTa2Cu structure (GGA-PBEsol).

Properties
The energy above the most stable polymorph in this dataset is 74 meV/atom. For the formation energy, the calculation gives 0.179 eV/atom.

Cell: 2.9685 5.0382 5.2344 Å, 112.70 106.47 90.00°
With the nearest neighbours (Å) after each atom.
Positions (direct):
Ta (0.7739, 0.2061, 0.5479)  2 Cu 2.66, 5 Ta 2.81-2.97, 4 Sc 2.93-2.98
Cu (0.4887, 0.5759, 0.9773)  4 Ta 2.66-2.72, 3 Sc 2.68-2.87, 2 Cu 2.97
Ta (0.0109, 0.0442, 0.0219)  2 Cu 2.72, 5 Ta 2.81-2.97, 1 Sc 3.04
Sc (0.2265, 0.6738, 0.4529)  3 Cu 2.68-2.87, 4 Ta 2.93-2.98, 2 Sc 2.97


[2]
Entry from Alexandria: a geometry-optimized Cd2SbPt2 structure (GGA-PBEsol).

Properties
The value obtained for the raw formation energy is -0.09 eV/atom.

Cell: 3.7866 3.7866 7.2828 Å, 105.07 105.07 90.00°
With the nearest neighbours (Å) after each atom.
Positions (direct):
Pt (0.5967, 0.5967, 0.1935)  1 Pt 2.62, 4 Cd 2.81
Cd (0.7500, 0.2500, 0.5000)  4 Cd 2.68, 4 Pt 2.81
Pt (0.4033, 0.4033, 0.8065)  1 Pt 2.62, 4 Cd 2.81
Cd (0.2500, 0.7500, 0.5000)  4 Cd 2.68, 4 Pt 2.81
Sb (0.0000, 0.0000, 0.0000)  8 Pt 2.98


[3]
Entry from Alexandria: a geometry-optimized TaOs structure (GGA-PBEsol).

Properties
For the formation energy, the calculation gives 0.078 eV/atom.

Cell: 2.8614 2.8614 4.4197 Å, 90.00 90.00 120.00°
With the nearest neighbours (Å) after each atom.
Positions (direct):
Ta (0.6667, 0.3333, 0.5000)  6 Os 2.76, 6 Ta 2.86
Os (0.0000, 0.0000, 0.0000)  6 Ta 2.76, 6 Os 2.86


[4]
Entry from Alexandria: a geometry-optimized CdPAuS2 structure (GGA-PBEsol).

Properties
The value obtained for the raw formation energy is 1.23 eV/atom.

Cell: 4.8425 4.8425 4.8944 Å, 90.00 90.00 90.00°
With the nearest neighbours (Å) after each atom.
Positions (direct):
Cd (0.0000, 0.0000, 0.0000)  4 S 2.42, 2 P 2.45
S (0.5000, 0.0000, 0.0000)  2 Cd 2.42
S (0.0000, 0.5000, 0.0000)  2 Cd 2.42
Au (0.5000, 0.5000, 0.5000)  4 P 3.42, 8 S 3.44
P (0.0000, 0.0000, 0.5000)  2 Cd 2.45